[1]
The following is a DFT calculation (GGA-PBE) of an optimized crystal structure of K2CaAl.

Summary:
- crystal system = monoclinic
- mass density (g cm⁻³) = 1.33
- energy relative to the elements (eV per atom) = 0.114
- Fermi-level density of states (states/eV per cell) = 2.91

Cell: 4.029 4.033 11.125 Å, 90.00 90.27 90.00°
Space group Pm (No. 6)
Inequivalent atoms, fractional coordinates:
1 K 0.000 0.000 0.000 x1
2 K 0.499 0.500 0.362 x1
3 Ca 0.998 0.000 0.657 x1
4 Al 0.499 0.500 0.783 x1



[2]
The following is a DFT calculation (GGA-PBE) of an optimized crystal structure of TlGa9Hg2.

Summary:
- crystal system = trigonal
- mass density (g cm⁻³) = 7.81
- energy relative to the elements (eV per atom) = 0.071
- Fermi-level density of states (states/eV per cell) = 18.13

Cell: 6.0252 6.0252 25.0088 Å, 90.00 90.00 120.00°
Space group R-3m (No. 166, hexagonal axes)
Inequivalent atoms, fractional coordinates:
1 Tl 0.0000 0.0000 0.0000 x3
2 Ga 0.0000 0.0000 0.3388 x6
3 Ga 0.0000 0.0000 0.5000 x3
4 Ga 0.0222 0.5111 0.9115 x18
5 Hg 0.0000 0.0000 0.1307 x6



Question: The highest Fermi-level density of states belongs to which entry?
Answer: TlGa9Hg2